First-principles (PBE) data for a geometry-optimized Pr2Co3NiAs4 structure, as listed in the Alexandria database.

Results
calculated density = 8.114 g/cm³
formation energy = -726 kJ/mol of formula units
N(E_F) = 0.5985 states/eV per atom

abc: 4.1862 4.1862 9.5410
angles: 90.00 90.00 90.00
Element x y z (fractional)
As (0.5000, 0.0000, 0.6354)
As (0.5000, 0.5000, 0.0000)
As (0.0000, 0.5000, 0.3646)
As (0.0000, 0.0000, 0.0000)
Co (0.0000, 0.5000, 0.1138)
Co (0.5000, 0.0000, 0.8862)
Co (0.0000, 0.0000, 0.5000)
Pr (0.0000, 0.5000, 0.7515)
Pr (0.5000, 0.0000, 0.2485)
Ni (0.5000, 0.5000, 0.5000)

First-principles (PBE) data for a geometry-optimized Pr2CoNi3As4 structure, as listed in the Alexandria database.

Results
calculated density = 7.977 g/cm³
formation energy = -764 kJ/mol of formula units
N(E_F) = 0.4686 states/eV per atom

abc: 4.2063 4.2063 9.6061
angles: 90.00 90.00 90.00
Element x y z (fractional)
As (0.0000, 0.5000, 0.3703)
As (0.0000, 0.0000, 0.0000)
As (0.5000, 0.5000, 0.0000)
As (0.5000, 0.0000, 0.6297)
Pr (0.5000, 0.0000, 0.2514)
Pr (0.0000, 0.5000, 0.7486)
Co (0.5000, 0.5000, 0.5000)
Ni (0.0000, 0.0000, 0.5000)
Ni (0.5000, 0.0000, 0.8810)
Ni (0.0000, 0.5000, 0.1190)

First-principles (PBE) data for a geometry-optimized PrCoNiAs2 structure, as listed in the Alexandria database.

Results
calculated density = 7.933 g/cm³
formation energy = -355 kJ/mol of formula units
N(E_F) = 0.9603 states/eV per atom

abc: 4.0848 4.0848 5.8814
angles: 110.32 110.32 90.00
Element x y z (fractional)
Ni (0.2500, 0.7500, 0.5000)
Pr (0.0000, 0.0000, 0.0000)
As (0.3653, 0.3653, 0.7305)
As (0.6347, 0.6347, 0.2695)
Co (0.7500, 0.2500, 0.5000)